Entry 1:
# PBE Ni3S, relaxed
data_Ni3S
_symmetry_space_group_name_H-M 'P -1'
_symmetry_Int_Tables_number 2
_symmetry_space_group_name_Hall '-P 1'
_cell_length_a 4.016
_cell_length_b 4.286
_cell_length_c 6.098
_cell_angle_alpha 100.45
_cell_angle_beta 100.89
_cell_angle_gamma 106.08
loop_
_atom_site_label
_atom_site_type_symbol
_atom_site_fract_x
_atom_site_fract_y
_atom_site_fract_z
_atom_site_occupancy
Ni1 Ni 0.089 0.293 0.150 1
Ni2 Ni 0.222 0.254 0.726 1
Ni3 Ni 0.326 0.715 0.539 1
S1 S 0.290 0.863 0.197 1
# **VASP energy**: -43.89 eV/cell
# **Calculated density**: 7.20 g/cm3

---

Entry 2:
# PBE Ni3S, relaxed
data_Ni3S
_symmetry_space_group_name_H-M 'C 1 2/m 1'
_symmetry_Int_Tables_number 12
_symmetry_space_group_name_Hall '-C 2y'
_cell_length_a 8.000
_cell_length_b 3.536
_cell_length_c 6.982
_cell_angle_alpha 90.00
_cell_angle_beta 103.70
_cell_angle_gamma 90.00
loop_
_atom_site_label
_atom_site_type_symbol
_atom_site_fract_x
_atom_site_fract_y
_atom_site_fract_z
_atom_site_occupancy
Ni1 Ni 0.014 0.000 0.321 1
Ni2 Ni 0.165 0.500 0.554 1
Ni3 Ni 0.188 0.500 0.189 1
S1 S 0.104 0.500 0.844 1
# **VASP energy**: -88.36 eV/cell
# **Calculated density**: 7.21 g/cm3

---

We obtain calculated volume values of 11.995 11.993 Å³/atom for the records listed above, in that order.
We obtain DOS(E_F) values of 0.85 1.01 states/eV/atom for the records listed above, in that order.
We obtain formation energy without anion corrections values of -0.12 -0.15 eV/atom for the records listed above, in that order.